The following is a PBE-GGA calculation of an optimized crystal structure of YTmTlIn, from Alexandria via LeMat-Bulk.

Unit cell a=7.5194 b=7.5194 c=7.5194 alpha=90.00 beta=90.00 gamma=90.00
Space group F-43m (No. 216)
Asymmetric unit:
Y: 0.0000 0.0000 0.0000 [4 per cell]
Tm: 0.0000 0.0000 0.5000 [4 per cell]
Tl: 0.2500 0.2500 0.7500 [4 per cell]
In: 0.2500 0.2500 0.2500 [4 per cell]

Summary:
Calculated formation energy in eV/atom: -0.396
VASP energy in eV/atom: -4.406